Material: K3Li2MoO6
Method: DFT, PBE+U
State: relaxed

Space-group type: C2/m
Calculated density (g cm⁻³): 3.2
M_tot (Bohr magnetons per cell): 1.067
N(E_F) (states/eV/f.u.): 7.71
DFT total energy (eV per cell): -62.6

a = 5.716 Å, b = 5.716 Å, c = 6.192 Å
α = 97.54°, β = 97.54°, γ = 121.10°
Fractional positions:
1 K 0.818 0.182 0.500
2 K 0.500 0.500 0.500
3 K 0.182 0.818 0.500
4 O 0.932 0.645 0.827
5 O 0.205 0.205 0.793
6 O 0.795 0.795 0.207
7 O 0.355 0.068 0.173
8 O 0.645 0.932 0.827
9 O 0.068 0.355 0.173
10 Li 0.311 0.689 0.000
11 Li 0.689 0.311 0.000
12 Mo 0.000 0.000 0.000